DFT (PBE-GGA) results for a relaxed BaNaAl crystal.

For the total energy, the calculation gives -2.329 eV per atom. As for the energy of formation: 0.00 eV per atom. The total moment comes out at 0.00 μB per cell.

Cell: 4.696 8.193 12.151 Å, 90.00 90.00 90.00°
Atoms (fractional coordinates):
Ba: 0.750 0.191 0.719
Ba: 0.250 0.691 0.781
Ba: 0.250 0.809 0.281
Ba: 0.750 0.309 0.219
Al: 0.750 0.011 0.447
Al: 0.250 0.511 0.053
Al: 0.250 0.989 0.553
Al: 0.750 0.489 0.947
Na: 0.750 0.656 0.522
Na: 0.250 0.156 0.978
Na: 0.250 0.344 0.478
Na: 0.750 0.844 0.022

DFT (PBE-GGA) results for a relaxed Ba2NaAlNi crystal.

For the total energy, the calculation gives -2.982 eV per atom. As for the energy of formation: -0.04 eV per atom. The total moment comes out at 0.01 μB per cell.

Cell: 6.128 6.128 4.762 Å, 90.00 90.00 90.00°
Atoms (fractional coordinates):
Ni: 0.000 0.000 0.000
Na: 0.500 0.500 0.500
Ba: 0.000 0.500 0.000
Ba: 0.500 0.000 0.000
Al: 0.000 0.000 0.500

DFT (PBE-GGA) results for a relaxed BaNa2AlO crystal.

For the total energy, the calculation gives -2.308 eV per atom. For the formation energy without anion corrections, the calculation gives 0.3439 eV per atom. The total moment comes out at 0.00 μB per cell.

Cell: 5.239 6.688 5.239 Å, 90.00 90.00 90.00°
Atoms (fractional coordinates):
Na: 0.000 0.000 0.500
Na: 0.500 0.000 0.000
Ba: 0.000 0.500 0.000
O: 0.500 0.500 0.500
Al: 0.000 0.000 0.000

DFT (PBE-GGA) results for a relaxed BaNaAlP2 crystal.

For the total energy, the calculation gives -4.270 eV per atom. As for the energy of formation: -0.71 eV per atom. The total moment comes out at 0.00 μB per cell.

Cell: 4.216 7.872 8.611 Å, 80.58 75.83 74.47°
Atoms (fractional coordinates):
Ba: 0.803 0.766 0.629
Ba: 0.197 0.234 0.371
Na: 0.350 0.392 0.908
Na: 0.650 0.608 0.092
Al: 0.040 0.090 0.829
Al: 0.960 0.910 0.171
P: 0.421 0.824 0.334
P: 0.579 0.176 0.666
P: 0.848 0.222 0.081
P: 0.152 0.778 0.919

DFT (PBE-GGA) results for a relaxed BaNaAl2Pd crystal.

For the total energy, the calculation gives -2.753 eV per atom. As for the energy of formation: 0.43 eV per atom. The total moment comes out at 0.00 μB per cell.

Cell: 5.240 5.147 5.240 Å, 90.00 90.00 90.00°
Atoms (fractional coordinates):
Na: 0.000 0.000 0.000
Ba: 0.500 0.500 0.500
Pd: 0.000 0.500 0.000
Al: 0.000 0.000 0.500
Al: 0.500 0.000 0.000

DFT (PBE-GGA) results for a relaxed Ba2NaAlPd crystal.

For the total energy, the calculation gives -3.069 eV per atom. As for the energy of formation: -0.25 eV per atom. The total moment comes out at 0.14 μB per cell.

Cell: 6.307 6.307 4.923 Å, 90.00 90.00 90.00°
Atoms (fractional coordinates):
Na: 0.500 0.500 0.500
Ba: 0.000 0.500 0.000
Ba: 0.500 0.000 0.000
Pd: 0.000 0.000 0.000
Al: 0.000 0.000 0.500